(1)
{
  "formula": "Ta2MoAu",
  "functional": "PBE",
  "state": "relaxed",
  "dft_energy_ha_per_atom": -0.3428,
  "total_magnetization_mub_per_atom": 0.0000,
  "formation_energy_ev_per_atom": 0.1255,
  "dos_at_fermi_per_ev_cell": 3.5,
  "lattice": [[-2.3148, 2.6465, 3.6696], [-1.0452, 0.4787, 4.9505], [3.9319, 3.0543, 1.2721]],
  "species": ["Au", "Mo", "Ta", "Ta"],
  "frac_coords": [[0.5014, 0.5014, 0.5075], [0.2439, 0.2439, 0.2420], [0.9994, 0.9994, 0.0113], [0.7552, 0.7552, 0.7392]]
}


(2)
{
  "formula": "Ta2MoAu",
  "functional": "PBE",
  "state": "relaxed",
  "dft_energy_ha_per_atom": -0.3437,
  "total_magnetization_mub_per_atom": 0.0000,
  "formation_energy_ev_per_atom": 0.1005,
  "dos_at_fermi_per_ev_cell": 3.1,
  "lattice": [[2.7844, 0.0000, 0.0000], [0.0000, 4.1999, 0.0000], [0.0000, 0.0000, 5.9871]],
  "species": ["Ta", "Ta", "Mo", "Au"],
  "frac_coords": [[0.0000, 0.0000, 0.5050], [0.0000, 0.0000, 0.9950], [0.5000, 0.5000, 0.7500], [0.5000, 0.5000, 0.2500]]
}


(3)
{
  "formula": "Ta2MoAu",
  "functional": "PBE",
  "state": "relaxed",
  "dft_energy_ha_per_atom": -0.3381,
  "total_magnetization_mub_per_atom": 0.0000,
  "formation_energy_ev_per_atom": 0.2528,
  "dos_at_fermi_per_ev_cell": 3.2,
  "lattice": [[10.0922, -0.0061, -0.0035], [9.6870, 2.8310, -0.0035], [9.6870, 1.3835, 2.4699]],
  "species": ["Ta", "Ta", "Mo", "Au"],
  "frac_coords": [[0.0014, 0.0014, 0.0014], [0.2481, 0.2481, 0.2481], [0.7515, 0.7515, 0.7515], [0.4990, 0.4990, 0.4990]]
}


Relative energy among the computed polymorphs across the listed records, respectively: 212, 187, 339 meV per atom.